Entry 1:
# BaZrCl2 | Alexandria | PBE | optimized geometry
# Total magnetic moment = 0.005 μB per cell
# Relative energy among the computed polymorphs = 60 meV per atom
# Calculated density = 5.034 g/cm3
# V = 24.697 Å³ per atom
# Symmetry = C2/m
data_BaZrCl2
_chemical_formula_sum 'Ba1 Zr1 Cl2'
_cell_length_a 4.6655
_cell_length_b 4.6655
_cell_length_c 6.6078
_cell_angle_alpha 77.78
_cell_angle_beta 77.78
_cell_angle_gamma 44.88
_symmetry_space_group_name_H-M 'P 1'
_symmetry_Int_Tables_number 1
loop_
_symmetry_equiv_pos_as_xyz
'x,y,z'
loop_
_atom_site_label
_atom_site_fract_x
_atom_site_fract_y
_atom_site_fract_z
Cl1 0.0115 0.0115 0.9433
Ba1 0.2500 0.2500 0.2500
Zr1 0.7500 0.7500 0.7500
Cl2 0.4885 0.4885 0.5567



Entry 2:
# SmBiIr4 | Alexandria | PBE | optimized geometry
# E = -45.6 eV for the cell shown
# Total magnetic moment = 0.000 μB per cell
# Calculated density = 16.702 g/cm3
# V = 18.694 Å³ per atom
# Symmetry = F-43m
data_SmBiIr4
_chemical_formula_sum 'Sm1 Bi1 Ir4'
_cell_length_a 5.4132
_cell_length_b 5.4132
_cell_length_c 5.4132
_cell_angle_alpha 60.00
_cell_angle_beta 60.00
_cell_angle_gamma 60.00
_symmetry_space_group_name_H-M 'P 1'
_symmetry_Int_Tables_number 1
loop_
_symmetry_equiv_pos_as_xyz
'x,y,z'
loop_
_atom_site_label
_atom_site_fract_x
_atom_site_fract_y
_atom_site_fract_z
Ir1 0.6253 0.1242 0.6253
Ir2 0.1242 0.6253 0.6253
Ir3 0.6253 0.6253 0.1242
Sm1 0.2500 0.2500 0.2500
Ir4 0.6253 0.6253 0.6253
Bi1 0.0000 0.0000 0.0000



Entry 3:
# Nd3Y2ScS6 | Alexandria | PBE | optimized geometry
# E = -82.1 eV for the cell shown
# Total magnetic moment = 0.000 μB per cell
# Calculated density = 5.345 g/cm3
# V = 21.950 Å³ per atom
# Symmetry = C2/m
data_Nd3Y2ScS6
_chemical_formula_sum 'Nd3 Y2 Sc1 S6'
_cell_length_a 3.9228
_cell_length_b 8.0085
_cell_length_c 8.8844
_cell_angle_alpha 104.26
_cell_angle_beta 102.75
_cell_angle_gamma 90.00
_symmetry_space_group_name_H-M 'P 1'
_symmetry_Int_Tables_number 1
loop_
_symmetry_equiv_pos_as_xyz
'x,y,z'
loop_
_atom_site_label
_atom_site_fract_x
_atom_site_fract_y
_atom_site_fract_z
S1 0.3417 0.9113 0.6834
Nd1 0.1682 0.8350 0.3365
S2 0.6701 0.5751 0.3403
Sc1 0.5000 0.0000 0.0000
Nd2 0.8318 0.1650 0.6635
S3 0.3299 0.4249 0.6597
Y1 0.8345 0.6683 0.6690
S4 0.9984 0.7701 0.9967
S5 0.6583 0.0887 0.3166
Y2 0.1655 0.3317 0.3310
Nd3 0.5000 0.5000 0.0000
S6 0.0016 0.2299 0.0033



Entry 4:
# Ac4La2Pr5 | Alexandria | PBE | optimized geometry
# E = -48.4 eV for the cell shown
# Total magnetic moment = 0.000 μB per cell
# Calculated density = 7.134 g/cm3
# V = 39.999 Å³ per atom
# Symmetry = C2/m
data_Ac4La2Pr5
_chemical_formula_sum 'Ac4 La2 Pr5'
_cell_length_a 3.7570
_cell_length_b 9.9859
_cell_length_c 12.5023
_cell_angle_alpha 71.81
_cell_angle_beta 98.64
_cell_angle_gamma 90.00
_symmetry_space_group_name_H-M 'P 1'
_symmetry_Int_Tables_number 1
loop_
_symmetry_equiv_pos_as_xyz
'x,y,z'
loop_
_atom_site_label
_atom_site_fract_x
_atom_site_fract_y
_atom_site_fract_z
Pr1 0.2077 0.1580 0.4153
La1 0.2329 0.6441 0.4658
Ac1 0.0408 0.3017 0.0815
Ac2 0.3916 0.4180 0.7832
Pr2 0.7923 0.8420 0.5847
Pr3 0.8702 0.0732 0.7404
La2 0.7671 0.3559 0.5342
Ac3 0.6084 0.5820 0.2168
Ac4 0.9592 0.6983 0.9185
Pr4 0.1298 0.9268 0.2596
Pr5 0.5000 0.0000 0.0000



Entry 5:
# ZrAg2Pb | Alexandria | PBE | optimized geometry
# E = -17.8 eV for the cell shown
# Total magnetic moment = 0.000 μB per cell
# Calculated density = 9.871 g/cm3
# V = 21.623 Å³ per atom
# Symmetry = C2/m
data_ZrAg2Pb
_chemical_formula_sum 'Zr1 Ag2 Pb1'
_cell_length_a 5.3414
_cell_length_b 5.3414
_cell_length_c 5.3888
_cell_angle_alpha 82.29
_cell_angle_beta 82.29
_cell_angle_gamma 34.63
_symmetry_space_group_name_H-M 'P 1'
_symmetry_Int_Tables_number 1
loop_
_symmetry_equiv_pos_as_xyz
'x,y,z'
loop_
_atom_site_label
_atom_site_fract_x
_atom_site_fract_y
_atom_site_fract_z
Ag1 0.0061 0.0061 0.9778
Pb1 0.2500 0.2500 0.2500
Zr1 0.7500 0.7500 0.7500
Ag2 0.4939 0.4939 0.5222



Entry 6:
# Li3PdI | Alexandria | PBE | optimized geometry
# Total magnetic moment = 0.000 μB per cell
# Relative energy among the computed polymorphs = 0 meV per atom
# Calculated density = 3.633 g/cm3
# V = 23.232 Å³ per atom
# Symmetry = Pm-3m
data_Li3PdI
_chemical_formula_sum 'Li3 Pd1 I1'
_cell_length_a 4.8792
_cell_length_b 4.8792
_cell_length_c 4.8792
_cell_angle_alpha 90.00
_cell_angle_beta 90.00
_cell_angle_gamma 90.00
_symmetry_space_group_name_H-M 'P 1'
_symmetry_Int_Tables_number 1
loop_
_symmetry_equiv_pos_as_xyz
'x,y,z'
loop_
_atom_site_label
_atom_site_fract_x
_atom_site_fract_y
_atom_site_fract_z
Pd1 0.0000 0.0000 0.0000
Li1 0.0000 0.0000 0.5000
Li2 0.0000 0.5000 0.0000
I1 0.5000 0.5000 0.5000
Li3 0.5000 0.0000 0.0000



Entry 7:
# TbAl7Fe5 | Alexandria | PBE | optimized geometry
# E = -78.3 eV for the cell shown
# Total magnetic moment = 8.137 μB per cell
# Calculated density = 5.553 g/cm3
# V = 14.423 Å³ per atom
# Symmetry = Imm2
data_TbAl7Fe5
_chemical_formula_sum 'Tb1 Al7 Fe5'
_cell_length_a 6.6080
_cell_length_b 6.6080
_cell_length_c 6.6080
_cell_angle_alpha 135.38
_cell_angle_beta 98.37
_cell_angle_gamma 98.20
_symmetry_space_group_name_H-M 'P 1'
_symmetry_Int_Tables_number 1
loop_
_symmetry_equiv_pos_as_xyz
'x,y,z'
loop_
_atom_site_label
_atom_site_fract_x
_atom_site_fract_y
_atom_site_fract_z
Al1 0.3339 0.3425 0.9914
Al2 0.6598 0.0000 0.6598
Al3 0.3401 0.0000 0.3401
Al4 0.7942 0.2897 0.5046
Fe1 0.2354 0.5000 0.7354
Tb1 0.0051 0.0000 0.0051
Fe2 0.9983 0.9975 0.4963
Fe3 0.4988 0.4980 0.4963
Fe4 0.9983 0.5020 0.0008
Al5 0.2149 0.7103 0.5046
Fe5 0.4988 0.0025 0.0008
Al6 0.6488 0.6575 0.9914
Al7 0.7735 0.5000 0.2735



Entry 8:
# ZrTiB3 | Alexandria | PBE | optimized geometry
# Total magnetic moment = 0.000 μB per cell
# Relative energy among the computed polymorphs = 819 meV per atom
# Calculated density = 3.793 g/cm3
# V = 15.019 Å³ per atom
# Symmetry = Pm-3m
data_ZrTiB3
_chemical_formula_sum 'Zr1 Ti1 B3'
_cell_length_a 4.2189
_cell_length_b 4.2189
_cell_length_c 4.2189
_cell_angle_alpha 90.00
_cell_angle_beta 90.00
_cell_angle_gamma 90.00
_symmetry_space_group_name_H-M 'P 1'
_symmetry_Int_Tables_number 1
loop_
_symmetry_equiv_pos_as_xyz
'x,y,z'
loop_
_atom_site_label
_atom_site_fract_x
_atom_site_fract_y
_atom_site_fract_z
B1 0.0000 0.0000 0.5000
Ti1 0.5000 0.5000 0.5000
B2 0.0000 0.5000 0.0000
Zr1 0.0000 0.0000 0.0000
B3 0.5000 0.0000 0.0000